# CuNi2Rh

A relaxed CuNi2Rh crystal (PBE, Alexandria via LeMat-Bulk).

It has space group Cmm2 (No. 35), with a = 2.670 Å, b = 4.362 Å, c = 8.519 Å, α = 90.00°, β = 90.00° and γ = 90.00°. The asymmetric unit holds Cu at (0.000, 0.000, 0.000), Ni at (0.000, 0.000, 0.480), Ni at (0.000, 0.500, 0.243) and Rh at (0.000, 0.500, 0.735).

The calculation puts the calculated formation energy at 0.161 eV/atom. The density of states at the Fermi level is 11.842 states/eV per cell. The size of the total moment is 1.9 μB per formula unit.

# AcCeSnAu

A relaxed AcCeSnAu crystal (PBE, Alexandria via LeMat-Bulk).

It has space group F-43m (No. 216), with a = 7.839 Å, b = 7.839 Å, c = 7.839 Å, α = 90.00°, β = 90.00° and γ = 90.00°. The asymmetric unit holds Ac at (0.000, 0.000, 0.000), Ce at (0.000, 0.000, 0.500), Sn at (0.250, 0.250, 0.250) and Au at (0.250, 0.250, 0.750).

The calculation puts the calculated formation energy at -0.589 eV/atom. The density of states at the Fermi level is 41.701 states/eV per cell. The size of the total moment is 2.0 μB per formula unit.

# Cr2HgBr

A relaxed Cr2HgBr crystal (PBE, Alexandria via LeMat-Bulk).

It has space group Pmmm (No. 47), with a = 3.535 Å, b = 4.321 Å, c = 6.090 Å, α = 90.00°, β = 90.00° and γ = 90.00°. The asymmetric unit holds Cr at (0.000, 0.000, 0.000), Cr at (0.500, 0.000, 0.500), Hg at (0.000, 0.500, 0.500) and Br at (0.500, 0.500, 0.000).

The density of states at the Fermi level is 1.946 states/eV per cell. The size of the total moment is 9.3 μB per formula unit. The formation energy (no corrections) is 0.5935 eV per atom.